# 1
{
  "formula": "ErCu",
  "functional": "GGA-PBEsol",
  "state": "relaxed",
  "cell": [[3.373, 0.000, 0.000], [0.000, 3.373, 0.000], [0.000, 0.000, 3.373]],
  "species": ["Er", "Cu"],
  "fractional_positions": [[0.000, 0.000, 0.000], [0.500, 0.500, 0.500]],
  "formation_enthalpy_0k_ev_per_atom": -0.264,
  "dos_ef_per_ev_fu": 0.91
}

# 2
{
  "formula": "Ga2RhWC",
  "functional": "GGA-PBEsol",
  "state": "relaxed",
  "cell": [[4.844, 0.000, 0.000], [0.000, 4.844, 0.000], [0.000, 0.000, 3.905]],
  "species": ["Ga", "Ga", "Rh", "W", "C"],
  "fractional_positions": [[0.000, 0.500, 0.000], [0.500, 0.000, 0.000], [0.000, 0.000, 0.500], [0.500, 0.500, 0.000], [0.500, 0.500, 0.500]],
  "formation_enthalpy_0k_ev_per_atom": 1.373,
  "dos_ef_per_ev_fu": 5.39
}

# 3
{
  "formula": "GeHSe2N",
  "functional": "GGA-PBEsol",
  "state": "relaxed",
  "cell": [[5.050, 0.000, 0.000], [0.000, 5.050, 0.000], [0.000, 0.000, 2.717]],
  "species": ["Ge", "H", "Se", "Se", "N"],
  "fractional_positions": [[0.000, 0.000, 0.000], [0.500, 0.500, 0.500], [0.000, 0.500, 0.500], [0.500, 0.000, 0.500], [0.500, 0.500, 0.000]],
  "final_energy_ev_per_atom": -4.03,
  "dos_ef_per_ev_fu": 2.37
}

# 4
{
  "formula": "HoH3O3",
  "functional": "GGA-PBEsol",
  "state": "relaxed",
  "cell": [[6.187, 0.000, 0.000], [-3.093, 5.358, 0.000], [0.000, 0.000, 3.463]],
  "species": ["Ho", "Ho", "H", "H", "H", "H", "H", "H", "O", "O", "O", "O", "O", "O"],
  "fractional_positions": [[0.333, 0.667, 0.250], [0.667, 0.333, 0.750], [0.130, 0.852, 0.750], [0.148, 0.278, 0.750], [0.278, 0.130, 0.250], [0.722, 0.870, 0.750], [0.852, 0.722, 0.250], [0.870, 0.148, 0.250], [0.084, 0.394, 0.750], [0.310, 0.916, 0.750], [0.394, 0.310, 0.250], [0.606, 0.690, 0.750], [0.690, 0.084, 0.250], [0.916, 0.606, 0.250]],
  "final_energy_ev_per_atom": -6.37,
  "dos_ef_per_ev_fu": 0.00
}